SrYSb2 after structural relaxation, computed with PBE.

Cell: 7.849 7.849 7.849 Å, 90.00 90.00 90.00°
Fractional coordinates of all 16 atoms:
Sr: 0.000 0.000 0.000
Sr: 0.000 0.500 0.500
Sr: 0.500 0.000 0.500
Sr: 0.500 0.500 0.000
Y: 0.000 0.000 0.500
Y: 0.000 0.500 0.000
Y: 0.500 0.000 0.000
Y: 0.500 0.500 0.500
Sb: 0.250 0.250 0.250
Sb: 0.250 0.250 0.750
Sb: 0.250 0.750 0.250
Sb: 0.250 0.750 0.750
Sb: 0.750 0.250 0.250
Sb: 0.750 0.250 0.750
Sb: 0.750 0.750 0.250
Sb: 0.750 0.750 0.750

Results
Crystal system ... cubic
Energy above the lowest structure with this stoichiometry ... 0.1829 eV per atom
Final energy ... -78.02 eV per cell
Space group ... Fm-3m